! Ba3Si5S12 PBE-GGA relaxed; values from VASP
! VASP energy, eV/f.u.: -100.2
! Symmetry: Ia-3d
&SYSTEM
  ibrav = 0, nat = 80, ntyp = 3
/
ATOMIC_SPECIES
Si 28.09 Si.upf
S 32.06 S.upf
Ba 137.33 Ba.upf
CELL_PARAMETERS angstrom
-13.291 2.150 -0.037
2.661 -11.544 6.399
6.172 10.161 6.320
ATOMIC_POSITIONS angstrom
Si 0.880 -1.520 3.975
Si -5.315 -4.697 3.181
Si -6.646 1.075 -0.019
Si -0.022 6.984 5.526
Si 1.533 2.559 6.340
Si -3.559 6.156 3.141
Si -5.991 -1.792 6.341
Si 2.649 -4.579 7.165
Si -4.436 -6.216 7.156
Si 4.417 -0.691 6.359
Si -4.235 9.060 6.302
Si -5.337 2.287 8.707
Si 3.086 5.080 3.160
Si -3.547 -0.809 2.376
Si -2.229 0.384 6.341
Si 1.330 -5.772 3.200
Si 0.000 0.000 0.000
Si -7.107 5.346 5.517
Si -0.910 1.577 10.306
Si -0.223 -8.293 6.380
S -1.726 0.220 8.807
S -3.826 -1.565 6.460
S 0.544 -4.423 7.709
S -4.160 1.903 6.913
S -10.277 0.675 4.377
S -6.671 -2.251 8.361
S 2.380 -2.460 11.399
S 2.213 3.018 4.320
S -6.537 -3.379 4.951
S -8.320 -8.565 5.781
S -10.413 -2.862 5.003
S -8.015 3.431 5.006
S -3.587 -2.860 3.115
S -0.298 -1.135 5.769
S -8.942 0.336 0.718
S 5.955 3.630 7.678
S -4.215 7.391 7.704
S -6.838 3.227 1.283
S 3.862 9.332 6.900
S -0.870 3.628 9.567
S -1.076 -3.147 10.685
S -5.002 5.191 4.972
S 3.557 -2.664 7.676
S -2.732 0.548 3.874
S 1.760 -9.190 6.502
S 3.616 -6.215 8.232
S -8.074 6.982 4.449
S -3.382 3.915 1.997
S -0.243 -6.624 4.977
S -5.560 -0.097 1.933
S -6.482 -5.696 7.699
S 1.102 0.864 10.748
S -0.632 2.333 6.222
S 2.024 6.463 4.982
S 2.080 4.147 7.731
S 4.484 0.431 11.964
S -1.457 5.729 4.468
S 5.819 0.092 8.304
S -4.083 -5.892 5.029
S -6.929 0.028 5.593
S -6.218 9.957 6.179
S -3.001 -4.961 8.213
S -0.374 6.660 7.653
S 2.471 0.739 7.088
S 0.270 -3.484 3.251
S 0.532 0.014 2.466
S -4.728 4.251 9.431
S -4.990 0.753 10.216
Ba 3.741 2.214 9.520
Ba 5.296 -2.211 10.334
Ba -2.680 4.636 7.116
Ba -8.863 -5.506 5.557
Ba -1.778 -3.868 5.565
Ba 0.869 -1.501 8.735
Ba 4.405 6.274 7.125
Ba -9.754 2.979 2.347
Ba -3.782 -2.137 9.521
Ba -5.327 2.268 3.946
Ba -0.676 2.905 3.160
Ba -8.199 -1.446 3.162

=====

! BaSi2SnS8 PBE-GGA relaxed; values from VASP
! VASP energy, eV/f.u.: -57.0
! Symmetry: P-3
&SYSTEM
  ibrav = 0, nat = 12, ntyp = 4
/
ATOMIC_SPECIES
Si 28.09 Si.upf
S 32.06 S.upf
Sn 118.71 Sn.upf
Ba 137.33 Ba.upf
CELL_PARAMETERS angstrom
6.029 0.000 0.000
-3.014 5.221 0.000
0.000 0.000 9.092
ATOMIC_POSITIONS angstrom
Si 3.014 1.740 2.370
Si 0.000 3.481 6.722
S 1.016 5.149 2.900
S 4.967 1.695 6.191
S 3.014 1.740 0.247
S 0.937 1.767 2.900
S -1.953 3.526 2.900
S 0.000 3.481 8.844
S 1.999 0.072 6.191
S 2.077 3.454 6.191
Sn 0.000 0.000 4.546
Ba 0.000 0.000 0.000

=====

! BaTaSi2S8 PBE-GGA relaxed; values from VASP
! VASP energy, eV/f.u.: -67.4
! Symmetry: P-3
&SYSTEM
  ibrav = 0, nat = 12, ntyp = 4
/
ATOMIC_SPECIES
S 32.06 S.upf
Si 28.09 Si.upf
Ta 180.95 Ta.upf
Ba 137.33 Ba.upf
CELL_PARAMETERS angstrom
-0.145 4.909 -3.623
-3.335 -0.121 5.109
6.627 3.448 4.407
ATOMIC_POSITIONS angstrom
S 1.075 2.696 1.966
S 4.185 4.915 6.493
S -1.213 4.337 4.122
S -1.039 3.321 -0.599
S 4.359 3.899 1.772
S 3.194 7.153 0.977
S 2.071 5.539 3.928
S -0.048 1.083 4.917
Si 0.571 4.158 0.472
Si 2.575 4.078 5.422
Ta 3.313 1.724 2.204
Ba 0.000 0.000 0.000

=====

! BaSi2TeS8 PBE-GGA relaxed; values from VASP
! VASP energy, eV/f.u.: -54.7
! Symmetry: R-3
&SYSTEM
  ibrav = 0, nat = 12, ntyp = 4
/
ATOMIC_SPECIES
S 32.06 S.upf
Te 127.60 Te.upf
Si 28.09 Si.upf
Ba 137.33 Ba.upf
CELL_PARAMETERS angstrom
6.071 0.000 0.000
3.035 5.258 0.000
3.035 1.753 9.188
ATOMIC_POSITIONS angstrom
S 3.035 1.753 4.219
S 7.989 3.493 1.578
S 7.041 5.160 7.610
S 5.122 5.172 1.578
S 7.019 1.838 7.610
S 5.101 1.850 1.578
S 9.106 5.258 4.970
S 4.153 3.517 7.610
Te 0.000 0.000 0.000
Si 3.035 1.753 2.129
Si 9.106 5.258 7.060
Ba 6.071 3.505 4.594